1.
Here is crystalline K2Ti2P3O12 at its relaxed geometry from Alexandria. Energies are from PBE.

Cell and atoms, written as extended XYZ:
```
76
Lattice="-5.881 -1.679 7.954 8.079 -2.296 5.489 0.901 9.622 2.698" Properties=species:S:1:pos:R:3 pbc="T T T"
K 2.885 5.257 15.025
K 2.126 -1.365 6.737
K -2.400 3.032 6.068
K 3.588 4.370 4.450
K 2.183 3.978 11.370
K -2.107 -0.048 8.502
K 0.630 6.689 5.619
K 5.492 0.674 6.790
Ti 1.278 2.330 6.659
Ti 3.996 -2.240 9.917
Ti -4.131 3.919 9.323
Ti 5.054 7.285 6.382
Ti 0.459 0.533 11.316
Ti -0.105 6.358 9.386
Ti 5.405 3.602 9.293
Ti 0.439 0.800 2.287
P 2.840 5.114 7.906
P 2.846 -1.030 12.942
P -2.645 6.296 7.304
P -2.632 6.167 11.476
P 0.549 -2.330 9.709
P 6.309 6.749 9.556
P 3.013 1.015 9.307
P -0.765 3.142 9.288
P 6.567 4.181 6.275
P -0.750 -0.070 5.222
P 0.105 3.733 3.728
P 3.156 0.913 4.129
O 3.529 6.111 6.943
O 3.722 -1.580 11.790
O -3.657 5.391 8.048
O -3.481 5.027 10.861
O 2.050 -2.701 9.783
O 5.697 7.373 8.278
O 3.622 -0.405 9.205
O -2.302 3.128 9.106
O 6.194 5.668 6.060
O -0.137 1.003 6.155
O 0.753 3.493 5.113
O 2.604 1.371 5.500
O 2.466 3.857 7.095
O -4.608 2.594 7.926
O 5.071 5.468 13.104
O 4.135 7.232 4.625
O 0.726 6.560 13.556
O 4.422 -2.629 8.020
O 0.958 6.805 11.024
O 2.088 1.221 8.090
O 2.147 2.449 14.721
O -2.173 0.392 4.845
O 1.172 4.367 2.812
O 3.269 -0.625 4.156
O 1.584 5.839 8.444
O -5.197 0.193 8.566
O 5.268 3.681 11.290
O 2.240 8.863 4.105
O 2.248 1.375 2.961
O -0.435 2.417 3.111
O 0.111 -0.285 3.952
O 5.621 3.493 7.292
O -0.281 4.442 9.981
O 2.229 1.209 10.630
O 6.583 5.234 9.379
O 0.330 -0.799 9.810
O -1.763 6.877 10.407
O -1.185 5.992 7.725
O 1.378 -0.817 12.495
O 3.757 4.744 9.100
O 4.543 1.581 3.982
O -1.080 4.696 3.972
O -0.776 -1.382 6.040
O 0.525 1.817 12.852
O -0.432 1.936 10.196
O 4.209 1.995 9.285
O 6.751 -2.143 7.089
O -0.123 2.996 7.893
```

2.
36
Lattice="9.191 -0.012 -0.008 5.265 7.533 -0.008 5.265 2.739 7.018" Properties=species:S:1:pos:R:3 comment="KTi2P3O12 (PBE, relaxed)" polymorph_energy_ev_per_atom=0.000 pbc="T T T"
K 0.000 0.000 0.000
K 9.860 5.130 3.501
Ti 2.942 1.531 1.045
Ti 6.918 3.599 2.456
Ti 16.778 8.730 5.957
Ti 12.802 6.661 4.545
P 11.302 7.971 1.742
P 13.014 3.329 3.723
P 10.195 6.656 6.787
P 8.418 2.290 5.259
P 6.707 6.932 3.278
P 9.525 3.604 0.214
O 5.771 4.242 1.023
O 6.786 1.788 1.760
O 5.359 3.291 3.577
O 12.265 2.827 2.469
O 9.354 5.370 6.942
O 9.766 8.133 1.732
O 13.949 6.019 5.978
O 12.935 8.472 5.241
O 14.361 6.969 3.425
O 7.455 7.434 4.532
O 10.366 4.891 0.059
O 9.954 2.127 5.269
O 9.258 7.858 6.538
O 11.748 7.208 0.476
O 12.645 2.443 4.933
O 12.567 4.785 3.972
O 11.131 6.450 5.577
O 11.670 7.168 3.008
O 10.462 2.403 0.463
O 7.972 3.052 6.525
O 7.075 7.817 2.068
O 7.153 5.475 3.029
O 8.589 3.811 1.424
O 8.050 3.093 3.994

3.
Here is crystalline K2YTiP3O12 at its relaxed geometry from Alexandria. Energies are from PBE.

Cell and atoms, written as extended XYZ:
```
76
Lattice="10.283 0.000 0.000 0.000 10.283 0.000 0.000 0.000 10.283" Properties=species:S:1:pos:R:3 pbc="T T T"
K 9.520 5.904 4.379
K 5.904 4.379 9.520
K 0.763 0.763 0.763
K 4.379 9.520 5.904
K 7.212 8.212 2.071
K 8.212 2.071 7.212
K 3.071 3.071 3.071
K 2.071 7.212 8.212
Y 0.812 9.471 4.330
Y 5.953 5.953 5.953
Y 4.330 0.812 9.471
Y 9.471 4.330 0.812
Ti 8.819 8.819 8.819
Ti 1.464 3.677 6.606
Ti 3.677 6.606 1.464
Ti 6.606 1.464 3.677
P 0.514 7.682 1.173
P 9.110 5.655 7.742
P 2.541 3.968 9.769
P 5.655 7.742 9.110
P 3.968 9.769 2.541
P 7.682 1.173 0.514
P 9.769 2.541 3.968
P 1.173 0.514 7.682
P 7.742 9.110 5.655
P 4.628 2.601 6.315
P 6.315 4.628 2.601
P 2.601 6.315 4.628
O 0.260 8.717 2.279
O 8.004 5.402 6.708
O 3.575 2.863 10.023
O 5.402 6.708 8.004
O 2.863 10.023 3.575
O 8.717 2.279 0.260
O 10.023 3.575 2.863
O 2.279 0.260 8.717
O 6.708 8.004 5.402
O 4.881 1.566 7.420
O 7.420 4.881 1.566
O 1.566 7.420 4.881
O 10.135 8.209 10.144
O 0.139 4.994 7.216
O 3.068 5.280 0.148
O 4.994 7.216 0.139
O 5.280 0.148 3.068
O 8.209 10.144 10.135
O 0.148 3.068 5.280
O 10.144 10.135 8.209
O 7.216 0.139 4.994
O 5.289 2.074 5.003
O 5.003 5.289 2.074
O 2.074 5.003 5.289
O 2.046 7.570 0.873
O 9.410 7.187 7.854
O 2.429 4.269 8.237
O 7.187 7.854 9.410
O 4.269 8.237 2.429
O 7.570 0.873 2.046
O 8.237 2.429 4.269
O 0.873 2.046 7.570
O 7.854 9.410 7.187
O 3.096 2.713 6.014
O 6.014 3.096 2.713
O 2.713 6.014 3.096
O 10.177 6.331 1.546
O 8.737 5.035 9.093
O 1.190 3.595 0.106
O 5.035 9.093 8.737
O 3.595 0.106 1.190
O 6.331 1.546 10.177
O 0.106 1.190 3.595
O 1.546 10.177 6.331
O 9.093 8.737 5.035
O 5.248 3.952 6.688
O 6.688 5.248 3.952
O 3.952 6.688 5.248
```

4.
Here is crystalline KTl2P2O7 at its relaxed geometry from Alexandria. Energies are from PBE.

Cell and atoms, written as extended XYZ:
```
12
Lattice="-1.364 5.517 0.735 -3.877 1.492 3.948 3.826 3.020 6.774" Properties=species:S:1:pos:R:3 pbc="T T T"
K -0.708 5.015 5.729
Tl -0.244 7.622 9.357
Tl -1.171 2.407 2.100
P -4.061 7.154 5.787
P 2.645 2.875 5.670
O -2.788 3.081 5.566
O -0.500 4.618 2.919
O -2.754 6.864 5.034
O 2.033 4.277 5.535
O 0.302 7.361 6.982
O 0.000 0.000 0.000
O -0.538 3.887 8.335
```

5.
5
Lattice="5.346 0.000 0.000 0.000 5.346 0.000 0.000 0.000 4.501" Properties=species:S:1:pos:R:3 comment="KTlP2O (PBE, relaxed)" polymorph_energy_ev_per_atom=0.000 pbc="T T T"
P 0.000 2.673 0.000
P 2.673 0.000 0.000
Tl 0.000 0.000 0.000
K 2.673 2.673 2.251
O 0.000 0.000 2.251

6.
Here is crystalline K2Tl2PO4 at its relaxed geometry from Alexandria. Energies are from PBE.

Cell and atoms, written as extended XYZ:
```
9
Lattice="-5.548 1.541 2.078 3.204 -4.036 3.305 4.331 4.325 0.111" Properties=species:S:1:pos:R:3 pbc="T T T"
K 0.711 -1.175 3.545
K 1.275 3.006 1.949
Tl 5.039 0.193 2.285
Tl 2.495 0.096 1.131
P 0.000 0.000 0.000
O 3.413 -2.481 2.711
O 2.649 1.203 4.085
O 4.121 2.770 0.706
O -0.663 0.627 1.409
```

7.
Here is crystalline KTl2PO4 at its relaxed geometry from Alexandria. Energies are from PBE.

Cell and atoms, written as extended XYZ:
```
16
Lattice="5.589 0.000 0.000 0.000 8.073 0.000 0.000 0.000 7.748" Properties=species:S:1:pos:R:3 pbc="T T T"
K 5.562 0.933 3.874
K 2.768 7.141 0.000
Tl 2.750 2.485 1.930
Tl 2.750 2.485 5.817
Tl 5.545 5.588 5.804
Tl 5.545 5.588 1.943
P 2.797 7.121 3.874
P 0.002 0.952 0.000
O 1.526 1.367 0.000
O 4.321 6.706 3.874
O 2.719 0.624 3.874
O 5.514 7.449 0.000
O 2.125 6.578 5.165
O 4.920 1.496 1.291
O 4.920 1.496 6.457
O 2.125 6.578 2.583
```

8.
5
Lattice="-6.030 -0.548 -0.939 -0.176 -4.731 3.890 -0.828 2.977 3.583" Properties=species:S:1:pos:R:3 comment="KTlP2O (PBE, relaxed)" polymorph_energy_ev_per_atom=0.675 pbc="T T T"
P -0.088 -2.365 1.945
P -3.015 -0.274 -0.469
Tl -3.517 -1.151 3.267
K 0.000 0.000 0.000
O -0.414 1.488 1.791

So what do the calculations give for energy relative to the elements, uncorrected? Going down the list: -2528; -2568; -2656; -1790; 542; -956; -1730; 1217 meV per atom.